1.
{
  "formula": "Cu5Ag4",
  "functional": "GGA-PBE",
  "state": "optimized geometry",
  "vol_a3_per_atom": 14.68,
  "de_polymorph_mev_per_atom": 61,
  "formation_energy_ev_per_atom": 0.101,
  "spacegroup": "C2/m (12)",
  "lattice": [[-3.1810, 4.3218, -2.5577], [-4.9533, 2.1759, -2.4635], [-1.0708, 1.2501, 8.3258]],
  "species": ["Ag", "Ag", "Ag", "Ag", "Cu", "Cu", "Cu", "Cu", "Cu"],
  "fractional_positions": [[0.3384, 0.3384, 0.1168], [0.0177, 0.0177, 0.3461], [0.9823, 0.9823, 0.6539], [0.6616, 0.6616, 0.8832], [0.0000, 0.0000, 0.0000], [0.6652, 0.6652, 0.2124], [0.3139, 0.3139, 0.4298], [0.6861, 0.6861, 0.5702], [0.3348, 0.3348, 0.7876]]
}

=====

2.
{
  "formula": "Ga3Fe",
  "functional": "GGA-PBE",
  "state": "optimized geometry",
  "vol_a3_per_atom": 14.02,
  "spacegroup": "P6_3/mmc (194)",
  "dft_energy_ev_per_atom": -4.24,
  "lattice": [[-0.4137, 4.0971, -3.3582], [-3.1973, -0.2985, 4.2335], [3.0664, 2.3433, 2.4811]],
  "species": ["Fe", "Fe", "Ga", "Ga", "Ga", "Ga", "Ga", "Ga"],
  "fractional_positions": [[0.6667, 0.3333, 0.2500], [0.3333, 0.6667, 0.7500], [0.1709, 0.3418, 0.2500], [0.1709, 0.8291, 0.2500], [0.6582, 0.8291, 0.2500], [0.3418, 0.1709, 0.7500], [0.8291, 0.1709, 0.7500], [0.8291, 0.6582, 0.7500]]
}

=====

3.
{
  "formula": "CsLaEr",
  "functional": "GGA-PBE",
  "state": "optimized geometry",
  "vol_a3_per_atom": 54.18,
  "spacegroup": "F-43m (216)",
  "dft_energy_ev_per_atom": -2.28,
  "lattice": [[-0.4717, 1.2065, 5.9874], [0.2188, 5.7916, 1.9840], [-5.0528, 2.6783, 2.1961]],
  "species": ["Cs", "Er", "La"],
  "fractional_positions": [[0.2500, 0.2500, 0.2500], [0.0000, 0.0000, 0.0000], [0.7500, 0.7500, 0.7500]]
}